The following is a PBE-GGA calculation of crystalline YAlBr2 at its relaxed geometry, from the Alexandria database.

Properties
Raw formation energy: -0.828 eV/atom
ΔE to the lowest computed polymorph: 0.000 eV/atom

abc: 15.2190 3.5819 5.2464
angles: 90.00 100.19 90.00
Space group C2/m (No. 12)
Unique sites:
Y (0.0000, 0.0000, 0.0000) x2
Al (0.0000, 0.5000, 0.5000) x2
Br (0.1456, 0.5000, 0.1990) x4

The following is a PBE-GGA calculation of crystalline Y2AlBr at its relaxed geometry, from the Alexandria database.

Properties
Raw formation energy: -0.304 eV/atom
ΔE to the lowest computed polymorph: 0.418 eV/atom

abc: 3.6899 4.8216 6.0900
angles: 90.00 90.00 90.00
Space group Pmmm (No. 47)
Unique sites:
Y (0.0000, 0.0000, 0.0000) x1
Y (0.5000, 0.0000, 0.5000) x1
Al (0.0000, 0.5000, 0.5000) x1
Br (0.5000, 0.5000, 0.0000) x1

The following is a PBE-GGA calculation of crystalline YAlBr2 at its relaxed geometry, from the Alexandria database.

Properties
Raw formation energy: -0.664 eV/atom
ΔE to the lowest computed polymorph: 0.164 eV/atom

abc: 3.6473 4.7128 5.8649
angles: 90.00 90.00 90.00
Space group Pmmm (No. 47)
Unique sites:
Y (0.0000, 0.0000, 0.0000) x1
Al (0.5000, 0.0000, 0.5000) x1
Br (0.0000, 0.5000, 0.5000) x1
Br (0.5000, 0.5000, 0.0000) x1

The following is a PBE-GGA calculation of crystalline YAlBr2 at its relaxed geometry, from the Alexandria database.

Properties
Raw formation energy: -0.618 eV/atom
ΔE to the lowest computed polymorph: 0.210 eV/atom

abc: 3.6796 6.3684 10.1918
angles: 90.00 90.00 90.00
Space group Cmmm (No. 65)
Unique sites:
Y (0.0000, 0.0000, 0.0000) x2
Al (0.0000, 0.0000, 0.5000) x2
Br (0.0000, 0.5000, 0.2148) x4

The following is a PBE-GGA calculation of crystalline YAlBr2 at its relaxed geometry, from the Alexandria database.

Properties
Raw formation energy: -0.232 eV/atom
ΔE to the lowest computed polymorph: 0.597 eV/atom

abc: 7.5100 7.5100 7.5100
angles: 90.00 90.00 90.00
Space group F-43m (No. 216)
Unique sites:
Y (0.0000, 0.0000, 0.0000) x4
Al (0.2500, 0.2500, 0.7500) x4
Br (0.0000, 0.0000, 0.5000) x4
Br (0.2500, 0.2500, 0.2500) x4

The following is a PBE-GGA calculation of crystalline YAlBr2 at its relaxed geometry, from the Alexandria database.

Properties
Raw formation energy: -0.740 eV/atom
ΔE to the lowest computed polymorph: 0.088 eV/atom

abc: 3.9410 6.0996 10.0570
angles: 90.00 90.00 90.00
Space group Cmm2 (No. 35)
Unique sites:
Y (0.0000, 0.0000, 0.0000) x2
Al (0.0000, 0.5000, 0.2236) x2
Br (0.0000, 0.0000, 0.3961) x2
Br (0.0000, 0.5000, 0.7970) x2

The following is a PBE-GGA calculation of crystalline YAl2Br at its relaxed geometry, from the Alexandria database.

Properties
Raw formation energy: -0.424 eV/atom
ΔE to the lowest computed polymorph: 0.000 eV/atom

abc: 3.5092 4.0236 8.0981
angles: 90.00 102.42 90.00
Space group Pm (No. 6)
Unique sites:
Y (0.0000, 0.0000, 0.0000) x1
Al (0.1515, 0.5000, 0.3053) x1
Al (0.6571, 0.0000, 0.3164) x1
Br (0.4120, 0.5000, 0.8227) x1

The following is a PBE-GGA calculation of crystalline Y2AlBr at its relaxed geometry, from the Alexandria database.

Properties
Raw formation energy: 0.130 eV/atom
ΔE to the lowest computed polymorph: 0.853 eV/atom

abc: 7.4631 7.4631 7.4631
angles: 90.00 90.00 90.00
Space group F-43m (No. 216)
Unique sites:
Y (0.0000, 0.0000, 0.0000) x4
Y (0.2500, 0.2500, 0.2500) x4
Al (0.0000, 0.0000, 0.5000) x4
Br (0.2500, 0.2500, 0.7500) x4

The following is a PBE-GGA calculation of crystalline Y2AlBr at its relaxed geometry, from the Alexandria database.

Properties
Raw formation energy: -0.544 eV/atom
ΔE to the lowest computed polymorph: 0.178 eV/atom

abc: 3.6578 3.7940 15.4342
angles: 90.00 90.00 90.00
Space group Imm2 (No. 44)
Unique sites:
Y (0.0000, 0.0000, 0.0000) x2
Y (0.0000, 0.5000, 0.2559) x2
Al (0.0000, 0.5000, 0.8547) x2
Br (0.0000, 0.0000, 0.5957) x2

The following is a PBE-GGA calculation of crystalline YAl2Br at its relaxed geometry, from the Alexandria database.

Properties
Raw formation energy: -0.190 eV/atom
ΔE to the lowest computed polymorph: 0.234 eV/atom

abc: 4.7358 4.7358 8.0716
angles: 90.00 90.00 90.00
Space group I-4m2 (No. 119)
Unique sites:
Y (0.0000, 0.0000, 0.0000) x2
Al (0.0000, 0.0000, 0.5000) x2
Al (0.0000, 0.5000, 0.7500) x2
Br (0.0000, 0.5000, 0.2500) x2

The following is a PBE-GGA calculation of crystalline Y2AlBr at its relaxed geometry, from the Alexandria database.

Properties
Raw formation energy: -0.127 eV/atom
ΔE to the lowest computed polymorph: 0.595 eV/atom

abc: 6.0779 6.0779 15.2217
angles: 90.00 90.00 90.00
Space group I-42d (No. 122)
Unique sites:
Y (0.2414, 0.2500, 0.1250) x8
Al (0.0000, 0.0000, 0.0000) x4
Br (0.0000, 0.0000, 0.5000) x4

The following is a PBE-GGA calculation of crystalline YAlBr2 at its relaxed geometry, from the Alexandria database.

Properties
Raw formation energy: -0.777 eV/atom
ΔE to the lowest computed polymorph: 0.051 eV/atom

abc: 3.6304 3.6304 30.7451
angles: 90.00 90.00 120.00
Space group R-3m (No. 166, hexagonal axes)
Unique sites:
Y (0.0000, 0.0000, 0.0000) x3
Al (0.0000, 0.0000, 0.5000) x3
Br (0.0000, 0.0000, 0.3986) x6

Number 1: magnetic moment 0.00 μB/f.u., D(E_F) 3.46 states/eV/cell. Number 2: magnetic moment 0.00 μB/f.u., D(E_F) 4.72 states/eV/cell. Number 3: magnetic moment 0.00 μB/f.u., D(E_F) 1.16 states/eV/cell. Number 4: magnetic moment 0.00 μB/f.u., D(E_F) 3.30 states/eV/cell. Number 5: magnetic moment 1.60 μB/f.u., D(E_F) 14.04 states/eV/cell. Number 6: magnetic moment 0.00 μB/f.u., D(E_F) 2.20 states/eV/cell. Number 7: magnetic moment 0.00 μB/f.u., D(E_F) 0.98 states/eV/cell. Number 8: magnetic moment 0.00 μB/f.u., D(E_F) 10.07 states/eV/cell. Number 9: magnetic moment 0.00 μB/f.u., D(E_F) 4.53 states/eV/cell. Number 10: magnetic moment 0.00 μB/f.u., D(E_F) 3.07 states/eV/cell. Number 11: magnetic moment 0.00 μB/f.u., D(E_F) 6.16 states/eV/cell. Number 12: magnetic moment 0.00 μB/f.u., D(E_F) 9.25 states/eV/cell.